Y2MnCo | PBE | optimized geometry

Values from the calculation:
energy above the lowest structure with this stoichiometry = 0.378 eV per atom
DFT formation energy = 0.32 eV per atom
energy = -83.800 eV/cell
M_tot = 3.7 μB/f.u.

Unit cell a=3.6104 b=3.6104 c=24.3116 alpha=90.00 beta=90.00 gamma=120.00
Closest atoms and distances in Å follow each position.
Space group R-3m (No. 166, hexagonal axes)
Inequivalent atoms, fractional coordinates:
Y 0.0000 0.0000 0.2357 (multiplicity 6)  3 Co 2.68
Mn 0.0000 0.0000 0.0000 (multiplicity 3)  6 Y 3.16
Co 0.0000 0.0000 0.5000 (multiplicity 3)  6 Y 2.68